[1]
Entry from Alexandria: crystalline NaTm4Ag5 at its relaxed geometry (PBE).

Calculated values
The total DFT energy (no corrections) comes out at -0.265 Ry per atom. The size of the total moment is 0.0 Bohr magnetons per cell. Its space-group type is No. 123. The value obtained for the calculated formation energy is -0.261 eV per atom.

a b c (Å): 3.547 3.547 18.461
angles (deg): 90.00 90.00 90.00
Atoms (fractional coordinates):
Na 0.000 0.000 0.000
Tm 0.000 0.000 0.202
Tm 0.000 0.000 0.401
Tm 0.000 0.000 0.599
Tm 0.000 0.000 0.798
Ag 0.500 0.500 0.109
Ag 0.500 0.500 0.302
Ag 0.500 0.500 0.500
Ag 0.500 0.500 0.698
Ag 0.500 0.500 0.891

[2]
Entry from Alexandria: crystalline NaTm2Ag at its relaxed geometry (PBE).

Calculated values
The total DFT energy (no corrections) comes out at -0.228 Ry per atom. The calculation puts the energy above the most stable polymorph in this dataset at 13.5 kJ per mole of atoms. The size of the total moment is 0.0 Bohr magnetons per cell. Its space-group type is No. 166. The value obtained for the calculated formation energy is 0.171 eV per atom.

a b c (Å): 3.402 3.402 34.812
angles (deg): 90.00 90.00 120.00
Atoms (fractional coordinates):
Na 0.000 0.000 0.000
Na 0.333 0.667 0.667
Na 0.667 0.333 0.333
Tm 0.000 0.000 0.099
Tm 0.000 0.000 0.901
Tm 0.333 0.667 0.568
Tm 0.333 0.667 0.766
Tm 0.667 0.333 0.234
Tm 0.667 0.333 0.432
Ag 0.000 0.000 0.500
Ag 0.333 0.667 0.167
Ag 0.667 0.333 0.833

[3]
Entry from Alexandria: crystalline NaTmZnAg at its relaxed geometry (PBE).

Calculated values
The total DFT energy (no corrections) comes out at -0.186 Ry per atom. The size of the total moment is 0.0 Bohr magnetons per cell. Its space-group type is No. 216. The value obtained for the calculated formation energy is -0.052 eV per atom.

a b c (Å): 7.044 7.044 7.044
angles (deg): 90.00 90.00 90.00
Atoms (fractional coordinates):
Na 0.000 0.000 0.000
Na 0.000 0.500 0.500
Na 0.500 0.000 0.500
Na 0.500 0.500 0.000
Tm 0.000 0.000 0.500
Tm 0.000 0.500 0.000
Tm 0.500 0.000 0.000
Tm 0.500 0.500 0.500
Zn 0.250 0.250 0.250
Zn 0.250 0.750 0.750
Zn 0.750 0.250 0.750
Zn 0.750 0.750 0.250
Ag 0.250 0.250 0.750
Ag 0.250 0.750 0.250
Ag 0.750 0.250 0.250
Ag 0.750 0.750 0.750

> Which value of total DFT energy (no corrections) does entry 3 give?

-0.186 Ry per atom

> Which formula does entry 3 have?

NaTmZnAg

> Among the records above, which one has the lowest calculated formation energy?

NaTm4Ag5

> Which of these has the lowest total DFT energy (no corrections)?

NaTm4Ag5